Record 1
Entry from the Alexandria database: an optimized crystal structure of ReRuIN2 (PBE-GGA).

Cell: 3.8529 3.8529 5.9666 Å, 90.00 90.00 90.00°
Closest atoms and distances in Å follow each position.
Positions (direct):
Re: 0.0000 0.0000 0.0000  4 I 2.72
Ru: 0.5000 0.5000 0.5000  4 N 1.93
I: 0.5000 0.5000 0.0000  4 Re 2.72, 2 Ru 2.98
N: 0.0000 0.5000 0.5000  2 Ru 1.93
N: 0.5000 0.0000 0.5000  2 Ru 1.93

Results
total magnetization = 3.7 μB/f.u.
calculated density = 8.290 g/cm³
space-group type = P4/mmm
energy relative to the elements, uncorrected = 1.8189 eV/atom
calculated volume = 88.57 Å³ per cell
E above lowest polymorph = 0.6977 eV per atom


Record 2
Entry from the Alexandria database: an optimized crystal structure of ReSIN2 (PBE-GGA).

Cell: 3.8697 3.8697 6.5169 Å, 90.00 90.00 90.00°
Closest atoms and distances in Å follow each position.
Positions (direct):
Re: 0.0000 0.0000 0.0000  4 S 2.74
S: 0.5000 0.5000 0.0000  4 Re 2.74
I: 0.5000 0.5000 0.5000  4 N 1.93
N: 0.0000 0.5000 0.5000  2 I 1.93
N: 0.5000 0.0000 0.5000  2 I 1.93

Results
total magnetization = 4.4 μB/f.u.
calculated density = 6.350 g/cm³
space-group type = P4/mmm
energy relative to the elements, uncorrected = 2.4797 eV/atom
calculated volume = 97.59 Å³ per cell
E above lowest polymorph = 1.7756 eV per atom


Record 3
Entry from the Alexandria database: an optimized crystal structure of ReS2IN (PBE-GGA).

Cell: 5.1978 5.1978 3.9023 Å, 90.00 90.00 90.00°
Closest atoms and distances in Å follow each position.
Positions (direct):
Re: 0.0000 0.0000 0.0000  8 S 3.25
S: 0.0000 0.5000 0.5000  2 I 2.60
S: 0.5000 0.0000 0.5000  2 I 2.60
I: 0.5000 0.5000 0.5000  2 N 1.95
N: 0.5000 0.5000 0.0000  2 I 1.95

Results
total magnetization = 4.9 μB/f.u.
calculated density = 6.162 g/cm³
space-group type = P4/mmm
energy relative to the elements, uncorrected = 2.1737 eV/atom
calculated volume = 105.43 Å³ per cell
E above lowest polymorph = 1.7262 eV per atom


Record 4
Entry from the Alexandria database: an optimized crystal structure of ReSIN2 (PBE-GGA).

Cell: 3.8880 3.8880 5.5033 Å, 90.00 90.00 90.00°
Closest atoms and distances in Å follow each position.
Positions (direct):
Re: 0.0000 0.0000 0.0000  4 N 1.94
S: 0.0000 0.0000 0.5000  4 I 2.75, 2 Re 2.75
I: 0.5000 0.5000 0.5000  4 S 2.75
N: 0.0000 0.5000 0.0000  2 Re 1.94
N: 0.5000 0.0000 0.0000  2 Re 1.94

Results
total magnetization = 0.0 μB/f.u.
calculated density = 7.449 g/cm³
space-group type = P4/mmm
energy relative to the elements, uncorrected = 0.7041 eV/atom
calculated volume = 83.19 Å³ per cell
E above lowest polymorph = 0.0000 eV per atom


Record 5
Entry from the Alexandria database: an optimized crystal structure of ReSIN2 (PBE-GGA).

Cell: 3.6871 3.6871 6.7888 Å, 90.00 90.00 90.00°
Closest atoms and distances in Å follow each position.
Positions (direct):
Re: 0.0000 0.0000 0.0000  4 I 2.61
S: 0.5000 0.5000 0.5000  4 N 1.84
I: 0.5000 0.5000 0.0000  4 Re 2.61
N: 0.0000 0.5000 0.5000  2 S 1.84
N: 0.5000 0.0000 0.5000  2 S 1.84

Results
total magnetization = 2.8 μB/f.u.
calculated density = 6.715 g/cm³
space-group type = P4/mmm
energy relative to the elements, uncorrected = 2.4058 eV/atom
calculated volume = 92.29 Å³ per cell
E above lowest polymorph = 1.7016 eV per atom


Record 6
Entry from the Alexandria database: an optimized crystal structure of ReS2IN (PBE-GGA).

Cell: 4.8681 4.8681 3.8052 Å, 90.00 90.00 90.00°
Closest atoms and distances in Å follow each position.
Positions (direct):
Re: 0.0000 0.0000 0.0000  2 N 1.90
S: 0.0000 0.5000 0.0000  2 Re 2.43
S: 0.5000 0.0000 0.0000  2 Re 2.43
I: 0.5000 0.5000 0.5000  8 S 3.09, 4 N 3.44
N: 0.0000 0.0000 0.5000  2 Re 1.90

Results
total magnetization = 0.0 μB/f.u.
calculated density = 7.205 g/cm³
space-group type = P4/mmm
energy relative to the elements, uncorrected = 0.4475 eV/atom
calculated volume = 90.17 Å³ per cell
E above lowest polymorph = 0.0000 eV per atom


Record 7
Entry from the Alexandria database: an optimized crystal structure of ReSI2N (PBE-GGA).

Cell: 5.4883 5.4883 3.2909 Å, 90.00 90.00 90.00°
Closest atoms and distances in Å follow each position.
Positions (direct):
Re: 0.0000 0.0000 0.0000  8 I 3.20, 2 Re 3.29
S: 0.5000 0.5000 0.5000  2 N 1.65
I: 0.0000 0.5000 0.5000  2 S 2.74
I: 0.5000 0.0000 0.5000  2 S 2.74
N: 0.5000 0.5000 0.0000  2 S 1.65

Results
total magnetization = 0.0 μB/f.u.
calculated density = 8.143 g/cm³
space-group type = P4/mmm
energy relative to the elements, uncorrected = 1.7655 eV/atom
calculated volume = 99.13 Å³ per cell
E above lowest polymorph = 1.0268 eV per atom


Record 8
Entry from the Alexandria database: an optimized crystal structure of ReSIN2 (PBE-GGA).

Cell: 3.8585 3.8585 5.9641 Å, 90.00 90.00 90.00°
Closest atoms and distances in Å follow each position.
Positions (direct):
Re: 0.0000 0.0000 0.0000  4 N 1.93
S: 0.5000 0.5000 0.5000  4 I 2.73
I: 0.0000 0.0000 0.5000  4 S 2.73, 2 Re 2.98
N: 0.0000 0.5000 0.0000  2 Re 1.93
N: 0.5000 0.0000 0.0000  2 Re 1.93

Results
total magnetization = 0.0 μB/f.u.
calculated density = 6.979 g/cm³
space-group type = P4/mmm
energy relative to the elements, uncorrected = 0.7747 eV/atom
calculated volume = 88.79 Å³ per cell
E above lowest polymorph = 0.0706 eV per atom


What did the second record say?
Entry from the Alexandria database: an optimized crystal structure of ReSIN2 (PBE-GGA).

Cell: 3.8697 3.8697 6.5169 Å, 90.00 90.00 90.00°
Closest atoms and distances in Å follow each position.
Positions (direct):
Re: 0.0000 0.0000 0.0000  4 S 2.74
S: 0.5000 0.5000 0.0000  4 Re 2.74
I: 0.5000 0.5000 0.5000  4 N 1.93
N: 0.0000 0.5000 0.5000  2 I 1.93
N: 0.5000 0.0000 0.5000  2 I 1.93

Results
total magnetization = 4.4 μB/f.u.
calculated density = 6.350 g/cm³
space-group type = P4/mmm
energy relative to the elements, uncorrected = 2.4797 eV/atom
calculated volume = 97.59 Å³ per cell
E above lowest polymorph = 1.7756 eV per atom


> Which formula does entry 1 have?

ReRuIN2


What did the eighth record say?
Entry from the Alexandria database: an optimized crystal structure of ReSIN2 (PBE-GGA).

Cell: 3.8585 3.8585 5.9641 Å, 90.00 90.00 90.00°
Closest atoms and distances in Å follow each position.
Positions (direct):
Re: 0.0000 0.0000 0.0000  4 N 1.93
S: 0.5000 0.5000 0.5000  4 I 2.73
I: 0.0000 0.0000 0.5000  4 S 2.73, 2 Re 2.98
N: 0.0000 0.5000 0.0000  2 Re 1.93
N: 0.5000 0.0000 0.0000  2 Re 1.93

Results
total magnetization = 0.0 μB/f.u.
calculated density = 6.979 g/cm³
space-group type = P4/mmm
energy relative to the elements, uncorrected = 0.7747 eV/atom
calculated volume = 88.79 Å³ per cell
E above lowest polymorph = 0.0706 eV per atom